Below is Pr6Sm8Er after structural relaxation, with properties calculated at the PBE level. Values from VASP.

Properties
raw total energy: -0.170 hartree per atom
crystal system: trigonal
energy of formation: 10.63 kJ/mol of atoms
space group: No. 148

```
&SYSTEM
  ibrav = 0, nat = 15, ntyp = 3
/
ATOMIC_SPECIES
Pr 140.91 Pr.upf
Sm 150.36 Sm.upf
Er 167.26 Er.upf
CELL_PARAMETERS angstrom
4.640 2.679 7.038
-4.640 2.679 7.038
0.000 -5.358 7.038
ATOMIC_POSITIONS crystal
Pr 0.039 0.735 0.599
Pr 0.265 0.401 0.961
Pr 0.401 0.961 0.265
Pr 0.599 0.039 0.735
Pr 0.735 0.599 0.039
Pr 0.961 0.265 0.401
Sm 0.077 0.077 0.077
Sm 0.217 0.251 0.613
Sm 0.251 0.613 0.217
Sm 0.387 0.783 0.749
Sm 0.613 0.217 0.251
Sm 0.749 0.387 0.783
Sm 0.783 0.749 0.387
Sm 0.923 0.923 0.923
Er 0.500 0.500 0.500
```

***

Below is TaCr2B6 after structural relaxation, with properties calculated at the PBE level. Values from VASP.

Properties
raw total energy: -0.307 hartree per atom
crystal system: hexagonal
energy of formation: -42.91 kJ/mol of atoms
space group: No. 191

```
&SYSTEM
  ibrav = 0, nat = 9, ntyp = 3
/
ATOMIC_SPECIES
Ta 180.95 Ta.upf
Cr 52.00 Cr.upf
B 10.81 B.upf
CELL_PARAMETERS angstrom
5.214 0.000 0.000
-2.607 4.515 0.000
0.000 0.000 3.192
ATOMIC_POSITIONS crystal
Ta 0.000 0.000 0.000
Cr 0.333 0.667 0.000
Cr 0.667 0.333 0.000
B 0.000 0.338 0.500
B 0.000 0.662 0.500
B 0.338 0.000 0.500
B 0.338 0.338 0.500
B 0.662 0.000 0.500
B 0.662 0.662 0.500
```

***

Below is Sr3I5Br after structural relaxation, with properties calculated at the PBE level. Values from VASP.

Properties
formation energy without anion corrections: -1.7525 eV per atom
raw total energy: -0.123 hartree per atom
crystal system: monoclinic
space group: No. 10
polymorph energy (0 for the lowest one): 0 meV per atom

```
&SYSTEM
  ibrav = 0, nat = 18, ntyp = 3
/
ATOMIC_SPECIES
Sr 87.62 Sr.upf
I 126.90 I.upf
Br 79.90 Br.upf
CELL_PARAMETERS angstrom
7.641 0.000 0.000
0.000 4.928 0.000
-0.759 0.000 22.970
ATOMIC_POSITIONS crystal
Sr 0.000 0.000 0.000
Sr 0.017 0.000 0.672
Sr 0.482 0.500 0.827
Sr 0.500 0.500 0.500
Sr 0.518 0.500 0.173
Sr 0.983 0.000 0.328
I 0.175 0.500 0.927
I 0.189 0.500 0.264
I 0.233 0.500 0.611
I 0.273 0.000 0.439
I 0.328 0.000 0.098
I 0.672 0.000 0.902
I 0.727 0.000 0.561
I 0.767 0.500 0.389
I 0.811 0.500 0.736
I 0.825 0.500 0.073
Br 0.307 0.000 0.769
Br 0.693 0.000 0.231
```

***

Below is SrPrRh after structural relaxation, with properties calculated at the PBE level. Values from VASP.

Properties
raw total energy: -0.181 hartree per atom
crystal system: triclinic
energy of formation: -29.83 kJ/mol of atoms
space group: No. 1
polymorph energy (0 for the lowest one): 32 meV per atom

```
&SYSTEM
  ibrav = 0, nat = 6, ntyp = 3
/
ATOMIC_SPECIES
Sr 87.62 Sr.upf
Pr 140.91 Pr.upf
Rh 102.91 Rh.upf
CELL_PARAMETERS angstrom
3.796 0.000 0.000
0.001 7.264 0.000
0.011 1.735 7.098
ATOMIC_POSITIONS crystal
Sr 0.000 0.000 0.000
Sr 0.499 0.509 0.941
Pr 0.500 0.112 0.515
Pr 0.500 0.626 0.448
Rh 0.000 0.351 0.668
Rh 0.999 0.803 0.660
```

***

Below is DyTm12In6 after structural relaxation, with properties calculated at the PBE level. Values from VASP.

Properties
raw total energy: -0.151 hartree per atom
crystal system: trigonal
energy of formation: -18.10 kJ/mol of atoms
space group: No. 148

```
&SYSTEM
  ibrav = 0, nat = 19, ntyp = 3
/
ATOMIC_SPECIES
Dy 162.50 Dy.upf
Tm 168.93 Tm.upf
In 114.82 In.upf
CELL_PARAMETERS angstrom
5.663 3.269 4.780
-5.663 3.269 4.780
0.000 -6.539 4.780
ATOMIC_POSITIONS crystal
Dy 0.000 0.000 0.000
Tm 0.035 0.155 0.373
Tm 0.155 0.373 0.035
Tm 0.199 0.471 0.561
Tm 0.373 0.035 0.155
Tm 0.439 0.801 0.529
Tm 0.471 0.561 0.199
Tm 0.529 0.439 0.801
Tm 0.561 0.199 0.471
Tm 0.627 0.965 0.845
Tm 0.801 0.529 0.439
Tm 0.845 0.627 0.965
Tm 0.965 0.845 0.627
In 0.121 0.736 0.281
In 0.264 0.719 0.879
In 0.281 0.121 0.736
In 0.719 0.879 0.264
In 0.736 0.281 0.121
In 0.879 0.264 0.719
```

***

Below is ZnFe2 after structural relaxation, with properties calculated at the PBE level. Values from VASP.

Properties
raw total energy: -0.218 hartree per atom
crystal system: orthorhombic
energy of formation: 13.37 kJ/mol of atoms
space group: No. 63

```
&SYSTEM
  ibrav = 0, nat = 6, ntyp = 2
/
ATOMIC_SPECIES
Zn 65.41 Zn.upf
Fe 55.84 Fe.upf
CELL_PARAMETERS angstrom
1.279 -6.698 0.000
1.279 6.698 0.000
0.000 0.000 4.107
ATOMIC_POSITIONS crystal
Zn 0.057 0.943 0.750
Zn 0.943 0.057 0.250
Fe 0.275 0.725 0.250
Fe 0.378 0.622 0.750
Fe 0.622 0.378 0.250
Fe 0.725 0.275 0.750
```

***

Below is Zr2ScNi after structural relaxation, with properties calculated at the PBE level. Values from VASP.

Properties
raw total energy: -0.274 hartree per atom
crystal system: monoclinic
energy of formation: -15.90 kJ/mol of atoms
space group: No. 8
polymorph energy (0 for the lowest one): 78 meV per atom

```
&SYSTEM
  ibrav = 0, nat = 4, ntyp = 3
/
ATOMIC_SPECIES
Zr 91.22 Zr.upf
Sc 44.96 Sc.upf
Ni 58.69 Ni.upf
CELL_PARAMETERS angstrom
5.418 -1.616 0.000
5.418 1.616 0.000
-2.387 0.000 4.616
ATOMIC_POSITIONS crystal
Zr 0.000 0.000 0.000
Zr 0.209 0.209 0.758
Sc 0.798 0.798 0.344
Ni 0.504 0.504 0.396
```

***

Below is Mg2SiB after structural relaxation, with properties calculated at the PBE level. Values from VASP.

Properties
formation energy without anion corrections: 0.0675 eV per atom
raw total energy: -0.138 hartree per atom
crystal system: orthorhombic
space group: No. 38
polymorph energy (0 for the lowest one): 70 meV per atom

```
&SYSTEM
  ibrav = 0, nat = 4, ntyp = 3
/
ATOMIC_SPECIES
Mg 24.30 Mg.upf
Si 28.09 Si.upf
B 10.81 B.upf
CELL_PARAMETERS angstrom
3.414 0.000 0.000
0.000 1.983 4.542
0.000 -1.983 4.542
ATOMIC_POSITIONS crystal
Mg 0.000 0.000 0.000
Mg 0.500 0.304 0.304
Si 0.000 0.700 0.700
B 0.500 0.578 0.578
```

***

Below is Ce3Pm3HoTe8 after structural relaxation, with properties calculated at the PBE level. Values from VASP.

Properties
formation energy without anion corrections: -1.4160 eV per atom
raw total energy: -0.203 hartree per atom
crystal system: trigonal
space group: No. 166

```
&SYSTEM
  ibrav = 0, nat = 15, ntyp = 4
/
ATOMIC_SPECIES
Ce 140.12 Ce.upf
Pm 145.00 Pm.upf
Ho 164.93 Ho.upf
Te 127.60 Te.upf
CELL_PARAMETERS angstrom
4.449 2.569 7.331
-4.449 2.569 7.331
0.000 -5.137 7.331
ATOMIC_POSITIONS crystal
Ce 0.000 0.500 0.500
Ce 0.500 0.000 0.500
Ce 0.500 0.500 0.000
Pm 0.000 0.000 0.500
Pm 0.000 0.500 0.000
Pm 0.500 0.000 0.000
Ho 0.500 0.500 0.500
Te 0.249 0.249 0.249
Te 0.250 0.749 0.749
Te 0.251 0.251 0.750
Te 0.251 0.750 0.251
Te 0.749 0.250 0.749
Te 0.749 0.749 0.250
Te 0.750 0.251 0.251
Te 0.751 0.751 0.751
```

***

Below is BeTeOs2 after structural relaxation, with properties calculated at the PBE level. Values from VASP.

Properties
formation energy without anion corrections: 0.6882 eV per atom
raw total energy: -0.244 hartree per atom
crystal system: tetragonal
space group: No. 122
polymorph energy (0 for the lowest one): 229 meV per atom

```
&SYSTEM
  ibrav = 0, nat = 8, ntyp = 3
/
ATOMIC_SPECIES
Be 9.01 Be.upf
Te 127.60 Te.upf
Os 190.23 Os.upf
CELL_PARAMETERS angstrom
-2.083 2.083 7.954
2.083 -2.083 7.954
2.083 2.083 -7.954
ATOMIC_POSITIONS crystal
Be 0.000 0.000 0.000
Be 0.750 0.250 0.500
Te 0.250 0.750 0.500
Te 0.500 0.500 0.000
Os 0.048 0.625 0.923
Os 0.375 0.298 0.423
Os 0.702 0.125 0.077
Os 0.875 0.952 0.577
```

***

Below is Sr2GeHPb after structural relaxation, with properties calculated at the PBE level. Values from VASP.

Properties
raw total energy: -0.095 hartree per atom
crystal system: tetragonal
space group: No. 123

```
&SYSTEM
  ibrav = 0, nat = 5, ntyp = 4
/
ATOMIC_SPECIES
Sr 87.62 Sr.upf
Ge 72.64 Ge.upf
H 1.01 H.upf
Pb 207.20 Pb.upf
CELL_PARAMETERS angstrom
6.421 0.000 0.000
0.000 6.421 0.000
0.000 0.000 5.208
ATOMIC_POSITIONS crystal
Sr 0.000 0.500 0.000
Sr 0.500 0.000 0.000
Ge 0.000 0.000 0.500
H 0.500 0.500 0.500
Pb 0.000 0.000 0.000
```

***

Below is KReTe2 after structural relaxation, with properties calculated at the PBE level. Values from VASP.

Properties
formation energy without anion corrections: 0.3880 eV per atom
raw total energy: -0.168 hartree per atom
crystal system: tetragonal
space group: No. 99
polymorph energy (0 for the lowest one): 431 meV per atom

```
&SYSTEM
  ibrav = 0, nat = 4, ntyp = 3
/
ATOMIC_SPECIES
K 39.10 K.upf
Re 186.21 Re.upf
Te 127.60 Te.upf
CELL_PARAMETERS angstrom
3.305 0.000 0.000
0.000 3.305 0.000
0.000 0.000 10.322
ATOMIC_POSITIONS crystal
K 0.000 0.000 0.000
Re 0.500 0.500 0.271
Te 0.000 0.000 0.397
Te 0.500 0.500 0.737
```